# TlWO2

An optimized crystal structure of TlWO2 (PBE with a Hubbard U, Alexandria).

Unit cell a=5.8199 b=5.8199 c=6.4345 alpha=63.11 beta=63.11 gamma=90.00
Fractional coordinates of all 8 atoms:
W  0.2500  0.7500  0.5000
Tl  0.7500  0.2500  0.5000
O  0.4690  0.1250  0.2500
O  0.8750  0.7190  0.7500
W  0.5000  0.5000  0.0000
Tl  0.0000  0.0000  0.0000
O  0.3750  0.5310  0.7500
O  0.2810  0.6250  0.2500

Values from the calculation:
Uncorrected energy: -5.77 eV/atom
Crystal system: tetragonal
Relative energy among the computed polymorphs: 0.364 eV per atom
Size of the total moment: 2.0 μB/f.u.